A plane-wave DFT calculation with PBE was carried out for an optimized crystal structure of NaPuNpCl6.

Properties
formation energy (no corrections): -15.713 eV/f.u.
D(E_F): 17.5 states/eV/f.u.

a = 7.2163 Å, b = 7.2163 Å, c = 12.3430 Å
α = 90.00°, β = 90.00°, γ = 120.00°
With the nearest neighbours (Å) after each atom.
Atoms (fractional coordinates):
Na 0.0000 0.0000 0.0000  6 Cl 2.94
Na 0.0000 0.0000 0.5000  6 Cl 2.94
Pu 0.3333 0.6667 0.2500  6 Cl 2.82
Pu 0.6667 0.3333 0.7500  6 Cl 2.82
Np 0.3333 0.6667 0.7500  6 Cl 2.79
Np 0.6667 0.3333 0.2500  6 Cl 2.79
Cl 0.0028 0.3436 0.6293  1 Np 2.79, 1 Pu 2.82, 1 Na 2.94
Cl 0.0028 0.6592 0.8707  1 Np 2.79, 1 Pu 2.82, 1 Na 2.94
Cl 0.3408 0.3436 0.8707  1 Np 2.79, 1 Pu 2.82, 1 Na 2.94
Cl 0.3408 0.9972 0.6293  1 Np 2.79, 1 Pu 2.82, 1 Na 2.94
Cl 0.3436 0.0028 0.1293  1 Np 2.79, 1 Pu 2.82, 1 Na 2.94
Cl 0.3436 0.3408 0.3707  1 Np 2.79, 1 Pu 2.82, 1 Na 2.94
Cl 0.6564 0.6592 0.6293  1 Np 2.79, 1 Pu 2.82, 1 Na 2.94
Cl 0.6564 0.9972 0.8707  1 Np 2.79, 1 Pu 2.82, 1 Na 2.94
Cl 0.6592 0.0028 0.3707  1 Np 2.79, 1 Pu 2.82, 1 Na 2.94
Cl 0.6592 0.6564 0.1293  1 Np 2.79, 1 Pu 2.82, 1 Na 2.94
Cl 0.9972 0.3408 0.1293  1 Np 2.79, 1 Pu 2.82, 1 Na 2.94
Cl 0.9972 0.6564 0.3707  1 Np 2.79, 1 Pu 2.82, 1 Na 2.94